Entry i
This record from the Alexandria database describes an optimized crystal structure of Mg2AlBi. The functional is PBE.

Cell: 3.322 3.322 10.680 Å, 81.05 81.05 60.00°
Positions (direct):
Bi  0.000  0.000  0.000
Mg  0.905  0.905  0.284
Mg  0.095  0.095  0.716
Al  0.500  0.500  0.500

Computed properties:
Calculated volume, A^3/atom: 25.11
Total magnetic moment, μB per formula unit: 0.0
Space group: R-3m (166)

=====

Entry ii
This record from the Alexandria database describes an optimized crystal structure of Mg2AlBi. The functional is PBE.

Cell: 5.143 5.143 5.143 Å, 60.00 60.00 60.00°
Positions (direct):
Bi  0.500  0.500  0.500
Al  0.000  0.000  0.000
Mg  0.250  0.250  0.250
Mg  0.750  0.750  0.750

Computed properties:
Calculated volume, A^3/atom: 24.04
Total magnetic moment, μB per formula unit: 0.0
Space group: Fm-3m (225)

=====

Which is most stable? The ranking, best first, is entry ii, entry i.

=====

Entry i
This record from the Alexandria database describes an optimized crystal structure of Mg2AlBi2. The functional is PBE.

Cell: 4.485 4.485 7.987 Å, 73.69 73.69 90.00°
Positions (direct):
Bi  0.388  0.388  0.225
Mg  0.250  0.750  0.500
Mg  0.750  0.250  0.500
Al  0.000  0.000  0.000
Bi  0.612  0.612  0.775

Computed properties:
Calculated volume, A^3/atom: 29.49
Total magnetic moment, μB per formula unit: 0.0
Space group: I4/mmm (139)

=====

Entry ii
This record from the Alexandria database describes an optimized crystal structure of Mg2AlBi2. The functional is PBE.

Cell: 8.766 8.766 3.496 Å, 90.00 90.00 90.00°
Positions (direct):
Al  0.500  0.500  0.000
Bi  0.334  0.834  0.000
Bi  0.666  0.166  0.000
Mg  0.133  0.633  0.500
Bi  0.166  0.334  0.000
Bi  0.834  0.666  0.000
Mg  0.867  0.367  0.500
Al  0.000  0.000  0.000
Mg  0.633  0.867  0.500
Mg  0.367  0.133  0.500

Computed properties:
Calculated volume, A^3/atom: 26.86
Total magnetic moment, μB per formula unit: 0.0
Space group: P4/mbm (127)

=====

Which is most stable? The ranking, best first, is entry ii, entry i.

=====

Entry i
This record from the Alexandria database describes an optimized crystal structure of MgAl2Bi. The functional is PBE.

Cell: 5.095 5.095 5.095 Å, 60.00 60.00 60.00°
Positions (direct):
Al  0.250  0.250  0.250
Mg  0.000  0.000  0.000
Bi  0.500  0.500  0.500
Al  0.750  0.750  0.750

Computed properties:
Calculated volume, A^3/atom: 23.38
Total magnetic moment, μB per formula unit: 0.0
Space group: Fm-3m (225)

=====

Entry ii
This record from the Alexandria database describes an optimized crystal structure of MgAl2Bi. The functional is PBE.

Cell: 8.223 8.223 6.509 Å, 50.83 50.83 90.00°
Positions (direct):
Bi  0.750  0.250  0.500
Mg  0.250  0.750  0.500
Al  0.640  0.125  0.250
Al  0.375  0.360  0.750
Bi  0.000  0.000  0.000
Al  0.875  0.890  0.750
Mg  0.500  0.500  0.000
Al  0.110  0.625  0.250

Computed properties:
Calculated volume, A^3/atom: 24.73
Total magnetic moment, μB per formula unit: 0.0
Space group: I-42d (122)

=====

Which is most stable? The ranking, best first, is entry i, entry ii.

=====

Entry i
This record from the Alexandria database describes an optimized crystal structure of Mg6AlBiO8. The functional is PBE.

Cell: 4.564 4.564 8.887 Å, 90.00 90.00 90.00°
Positions (direct):
O  0.000  0.000  0.734
O  0.500  0.500  0.273
O  0.000  0.500  0.000
Mg  0.500  0.000  0.733
Mg  0.000  0.500  0.267
Mg  0.500  0.000  0.267
Bi  0.500  0.500  0.000
O  0.000  0.000  0.266
O  0.500  0.500  0.727
O  0.500  0.000  0.000
Mg  0.000  0.000  0.500
Mg  0.000  0.500  0.733
Mg  0.500  0.500  0.500
O  0.500  0.000  0.500
Al  0.000  0.000  0.000
O  0.000  0.500  0.500

Computed properties:
Calculated volume, A^3/atom: 11.57
Total magnetic moment, μB per formula unit: 0.0
Space group: P4/mmm (123)

=====

Entry ii
This record from the Alexandria database describes an optimized crystal structure of Mg6AlBiO8. The functional is PBE.

Cell: 4.410 4.410 9.503 Å, 90.00 90.00 90.00°
Positions (direct):
Bi  0.000  0.000  0.500
O  0.000  0.000  0.186
O  0.000  0.000  0.814
Mg  0.500  0.500  0.500
Al  0.000  0.000  0.000
O  0.000  0.500  0.000
Mg  0.500  0.000  0.233
Mg  0.000  0.500  0.767
Mg  0.500  0.500  0.000
O  0.500  0.000  0.000
O  0.500  0.500  0.756
Mg  0.500  0.000  0.767
O  0.500  0.500  0.244
Mg  0.000  0.500  0.233
O  0.000  0.500  0.500
O  0.500  0.000  0.500

Computed properties:
Calculated volume, A^3/atom: 11.55
Total magnetic moment, μB per formula unit: 0.0
Space group: P4/mmm (123)

=====

Which is most stable? The ranking, best first, is entry ii, entry i.

=====

Entry i
This record from the Alexandria database describes an optimized crystal structure of Mn2Al2Bi. The functional is PBE.

Cell: 7.647 7.647 2.951 Å, 90.00 90.00 90.00°
Positions (direct):
Al  0.835  0.335  0.500
Mn  0.376  0.876  0.000
Mn  0.624  0.124  0.000
Bi  0.500  0.500  0.000
Al  0.665  0.835  0.500
Al  0.335  0.165  0.500
Bi  0.000  0.000  0.000
Al  0.165  0.665  0.500
Mn  0.124  0.376  0.000
Mn  0.876  0.624  0.000

Computed properties:
Calculated volume, A^3/atom: 17.25
Total magnetic moment, μB per formula unit: 5.3
Space group: P4/mbm (127)

=====

Entry ii
This record from the Alexandria database describes an optimized crystal structure of Mn2Al2Bi. The functional is PBE.

Cell: 4.065 4.065 6.451 Å, 71.64 71.64 90.00°
Positions (direct):
Al  0.614  0.614  0.771
Mn  0.250  0.750  0.500
Al  0.386  0.386  0.229
Mn  0.750  0.250  0.500
Bi  0.000  0.000  0.000

Computed properties:
Calculated volume, A^3/atom: 19.09
Total magnetic moment, μB per formula unit: 6.3
Space group: I4/mmm (139)

=====

Entry iii
This record from the Alexandria database describes an optimized crystal structure of Mn2Al2Bi. The functional is PBE.

Cell: 7.803 7.803 2.935 Å, 90.00 90.00 90.00°
Positions (direct):
Al  0.878  0.622  0.000
Mn  0.331  0.169  0.500
Al  0.622  0.122  0.000
Bi  0.000  0.000  0.000
Bi  0.500  0.500  0.000
Mn  0.669  0.831  0.500
Mn  0.169  0.669  0.500
Al  0.122  0.378  0.000
Mn  0.831  0.331  0.500
Al  0.378  0.878  0.000

Computed properties:
Calculated volume, A^3/atom: 17.87
Total magnetic moment, μB per formula unit: 6.0
Space group: P4/mbm (127)

=====

Which is most stable? The ranking, best first, is entry i, entry iii, entry ii.

=====

Entry i
This record from the Alexandria database describes an optimized crystal structure of Mn3AlBi. The functional is PBE.

Cell: 4.667 4.667 4.667 Å, 90.00 90.00 90.00°
Positions (direct):
Mn  0.000  0.500  0.000
Mn  0.500  0.000  0.000
Al  0.000  0.000  0.000
Bi  0.500  0.500  0.500
Mn  0.000  0.000  0.500

Computed properties:
Calculated volume, A^3/atom: 20.33
Total magnetic moment, μB per formula unit: 10.7
Space group: Pm-3m (221)

=====

Entry ii
This record from the Alexandria database describes an optimized crystal structure of Mn3AlBi. The functional is PBE.

Cell: 5.107 5.107 5.107 Å, 90.00 90.00 90.00°
Positions (direct):
Bi  0.000  0.000  0.000
Mn  0.000  0.500  0.000
Mn  0.000  0.000  0.500
Mn  0.500  0.000  0.000
Al  0.500  0.500  0.500

Computed properties:
Calculated volume, A^3/atom: 26.64
Total magnetic moment, μB per formula unit: 11.4
Space group: Pm-3m (221)

=====

Which is most stable? The ranking, best first, is entry i, entry ii.

=====

Entry i
This record from the Alexandria database describes an optimized crystal structure of Mn2AlBi. The functional is PBE.

Cell: 4.415 4.415 4.415 Å, 60.00 60.00 60.00°
Positions (direct):
Mn  0.750  0.750  0.750
Al  0.000  0.000  0.000
Bi  0.500  0.500  0.500
Mn  0.250  0.250  0.250

Computed properties:
Calculated volume, A^3/atom: 15.22
Total magnetic moment, μB per formula unit: 2.0
Space group: Fm-3m (225)

=====

Entry ii
This record from the Alexandria database describes an optimized crystal structure of Mn2AlBi. The functional is PBE.

Cell: 4.062 4.062 9.255 Å, 77.32 77.32 90.00°
Positions (direct):
Mn  0.511  0.125  0.250
Mn  0.239  0.625  0.250
Bi  0.000  0.000  0.000
Mn  0.875  0.761  0.750
Mn  0.375  0.489  0.750
Al  0.250  0.750  0.500
Al  0.500  0.500  0.000
Bi  0.750  0.250  0.500

Computed properties:
Calculated volume, A^3/atom: 18.14
Total magnetic moment, μB per formula unit: 1.6
Space group: I-42d (122)

=====

Which is most stable? The ranking, best first, is entry i, entry ii.

=====

Entry i
This record from the Alexandria database describes an optimized crystal structure of MnAlBi3. The functional is PBE.

Cell: 5.381 5.381 5.381 Å, 90.00 90.00 90.00°
Positions (direct):
Mn  0.500  0.500  0.500
Bi  0.000  0.000  0.500
Bi  0.000  0.500  0.000
Bi  0.500  0.000  0.000
Al  0.000  0.000  0.000

Computed properties:
Calculated volume, A^3/atom: 31.16
Total magnetic moment, μB per formula unit: 0.3
Space group: Pm-3m (221)

=====

Entry ii
This record from the Alexandria database describes an optimized crystal structure of MnAlBi3. The functional is PBE.

Cell: 5.154 5.154 5.154 Å, 90.00 90.00 90.00°
Positions (direct):
Al  0.500  0.500  0.500
Mn  0.000  0.000  0.000
Bi  0.000  0.500  0.000
Bi  0.500  0.000  0.000
Bi  0.000  0.000  0.500

Computed properties:
Calculated volume, A^3/atom: 27.39
Total magnetic moment, μB per formula unit: 0.0
Space group: Pm-3m (221)

=====

Which is most stable? The ranking, best first, is entry ii, entry i.

=====

Entry i
This record from the Alexandria database describes an optimized crystal structure of AlBi2MoPb. The functional is PBE.

Cell: 5.920 5.272 5.920 Å, 90.00 90.00 90.00°
Positions (direct):
Mo  0.500  0.500  0.500
Al  0.000  0.500  0.000
Bi  0.500  0.000  0.000
Bi  0.000  0.000  0.500
Pb  0.000  0.000  0.000

Computed properties:
Calculated volume, A^3/atom: 36.95
Total magnetic moment, μB per formula unit: 4.1
Space group: P4/mmm (123)

=====

Entry ii
This record from the Alexandria database describes an optimized crystal structure of AlBi2MoPb. The functional is PBE.

Cell: 5.407 5.422 5.407 Å, 90.00 90.00 90.00°
Positions (direct):
Pb  0.000  0.500  0.000
Bi  0.000  0.000  0.500
Bi  0.500  0.000  0.000
Mo  0.000  0.000  0.000
Al  0.500  0.500  0.500

Computed properties:
Calculated volume, A^3/atom: 31.71
Total magnetic moment, μB per formula unit: 0.0
Space group: P4/mmm (123)

=====

Which is most stable? The ranking, best first, is entry ii, entry i.

=====

Entry i
This record from the Alexandria database describes an optimized crystal structure of Al3BiN. The functional is PBE.

Cell: 5.465 5.465 5.465 Å, 90.00 90.00 90.00°
Positions (direct):
Al  0.000  0.000  0.500
Bi  0.000  0.000  0.000
N  0.500  0.500  0.500
Al  0.000  0.500  0.000
Al  0.500  0.000  0.000

Computed properties:
Calculated volume, A^3/atom: 32.65
Total magnetic moment, μB per formula unit: 0.0
Space group: Pm-3m (221)

=====

Entry ii
This record from the Alexandria database describes an optimized crystal structure of Al3BiN. The functional is PBE.

Cell: 4.425 4.425 4.425 Å, 90.00 90.00 90.00°
Positions (direct):
Al  0.000  0.000  0.500
N  0.000  0.000  0.000
Al  0.000  0.500  0.000
Bi  0.500  0.500  0.500
Al  0.500  0.000  0.000

Computed properties:
Calculated volume, A^3/atom: 17.33
Total magnetic moment, μB per formula unit: 0.0
Space group: Pm-3m (221)

=====

Which is most stable? The ranking, best first, is entry ii, entry i.

=====

Entry i
This record from the Alexandria database describes an optimized crystal structure of AlBiSN2. The functional is PBE.

Cell: 4.244 4.244 5.573 Å, 90.00 90.00 90.00°
Positions (direct):
N  0.000  0.500  0.000
N  0.500  0.000  0.000
Bi  0.000  0.000  0.000
S  0.000  0.000  0.500
Al  0.500  0.500  0.500

Computed properties:
Calculated volume, A^3/atom: 20.08
Total magnetic moment, μB per formula unit: 1.4
Space group: P4/mmm (123)

=====

Entry ii
This record from the Alexandria database describes an optimized crystal structure of AlBiSN2. The functional is PBE.

Cell: 3.874 3.874 4.986 Å, 90.00 90.00 90.00°
Positions (direct):
S  0.000  0.000  0.500
N  0.000  0.500  0.000
N  0.500  0.000  0.000
Bi  0.500  0.500  0.500
Al  0.000  0.000  0.000

Computed properties:
Calculated volume, A^3/atom: 14.96
Total magnetic moment, μB per formula unit: 0.3
Space group: P4/mmm (123)

=====

Which is most stable? The ranking, best first, is entry ii, entry i.

=====

Entry i
This record from the Alexandria database describes an optimized crystal structure of AlBiSeN2. The functional is PBE.

Cell: 3.951 3.951 5.185 Å, 90.00 90.00 90.00°
Positions (direct):
Al  0.000  0.000  0.000
N  0.000  0.500  0.000
Se  0.000  0.000  0.500
N  0.500  0.000  0.000
Bi  0.500  0.500  0.500

Computed properties:
Calculated volume, A^3/atom: 16.19
Total magnetic moment, μB per formula unit: 0.4
Space group: P4/mmm (123)

=====

Entry ii
This record from the Alexandria database describes an optimized crystal structure of AlBiSeN2. The functional is PBE.

Cell: 4.280 4.280 5.938 Å, 90.00 90.00 90.00°
Positions (direct):
Se  0.000  0.000  0.500
N  0.000  0.500  0.000
Bi  0.000  0.000  0.000
Al  0.500  0.500  0.500
N  0.500  0.000  0.000

Computed properties:
Calculated volume, A^3/atom: 21.76
Total magnetic moment, μB per formula unit: 1.6
Space group: P4/mmm (123)

=====

Which is most stable? The ranking, best first, is entry i, entry ii.

=====

Entry i
This record from the Alexandria database describes an optimized crystal structure of AlBiTe2N. The functional is PBE.

Cell: 5.804 5.804 3.538 Å, 90.00 90.00 90.00°
Positions (direct):
Te  0.000  0.500  0.000
Bi  0.500  0.500  0.500
Te  0.500  0.000  0.000
Al  0.000  0.000  0.000
N  0.000  0.000  0.500

Computed properties:
Calculated volume, A^3/atom: 23.84
Total magnetic moment, μB per formula unit: 0.0
Space group: P4/mmm (123)

=====

Entry ii
This record from the Alexandria database describes an optimized crystal structure of AlBiTe2N. The functional is PBE.

Cell: 5.993 5.993 4.381 Å, 90.00 90.00 90.00°
Positions (direct):
Te  0.500  0.000  0.000
N  0.000  0.000  0.500
Bi  0.000  0.000  0.000
Te  0.000  0.500  0.000
Al  0.500  0.500  0.500

Computed properties:
Calculated volume, A^3/atom: 31.47
Total magnetic moment, μB per formula unit: 1.9
Space group: P4/mmm (123)

=====

Which is most stable? The ranking, best first, is entry i, entry ii.